The following is a PBE-GGA calculation of crystalline BeSbBr at its relaxed geometry, from the Alexandria database.

Cell and atoms, written as CIF:
```
data_BeSbBr
_chemical_formula_sum 'Be2 Sb2 Br2'
_space_group_name_H-M_alt 'I 4 m m'
_space_group_IT_number 107
_space_group_name_Hall 'I 4 -2'
_cell_length_a 3.172
_cell_length_b 3.172
_cell_length_c 14.459
_cell_angle_alpha 90.00
_cell_angle_beta 90.00
_cell_angle_gamma 90.00
loop_
_atom_site_label
_atom_site_type_symbol
_atom_site_fract_x
_atom_site_fract_y
_atom_site_fract_z
Be1 Be 0.000 0.000 0.000
Sb1 Sb 0.000 0.000 0.637
Br1 Br 0.000 0.000 0.405
```

## Properties
total magnetic moment	0.0000	μB/atom
offset from the most stable computed form	543	meV/atom
E	-2.85	eV/atom